A plane-wave DFT calculation with GGA-PBE was carried out for an optimized crystal structure of ScPa2Se6.

Unit cell a=6.602 b=6.602 c=12.352 alpha=90.00 beta=90.00 gamma=90.00
Sites, in units of the cell vectors:
Se 0.202 0.798 0.500
Se 0.798 0.202 0.500
Se 0.702 0.702 0.000
Se 0.196 0.804 0.161
Se 0.804 0.196 0.839
Se 0.696 0.696 0.339
Se 0.196 0.804 0.839
Se 0.804 0.196 0.161
Se 0.304 0.304 0.339
Se 0.304 0.304 0.661
Se 0.298 0.298 0.000
Se 0.696 0.696 0.661
Pa 0.500 0.500 0.833
Pa 0.000 0.000 0.333
Pa 0.000 0.000 0.667
Pa 0.500 0.500 0.167
Sc 0.000 0.000 0.000
Sc 0.500 0.500 0.500

Computed properties:
Uncorrected formation energy   -1.341 eV per atom
Space group   No. 136
Calculated total energy   -0.47611 Ry/atom
Energy above the lowest structure with this stoichiometry   83.7 meV/atom